A plane-wave DFT calculation with PBE-GGA was carried out for an optimized crystal structure of Pm3B2Rh4.

Output
- Total DFT energy (no corrections): -6.923 eV/atom
- ΔE_f: -588.0 meV per atom
- Symmetry: C2/m (12)
- Crystal system: monoclinic

Unit cell a=3.996 b=5.461 c=8.268 alpha=103.95 beta=90.00 gamma=111.46
Positions (direct):
Rh: 0.149 0.298 0.432
Pm: 0.389 0.778 0.300
B: 0.321 0.641 0.655
Rh: 0.707 0.415 0.104
Pm: 0.611 0.222 0.700
Rh: 0.851 0.702 0.568
Pm: 0.000 0.000 0.000
Rh: 0.293 0.585 0.896
B: 0.679 0.359 0.345

A plane-wave DFT calculation with PBE-GGA was carried out for an optimized crystal structure of Li7Mo12S16.

Output
- Total DFT energy (no corrections): -6.890 eV/atom
- Energy relative to the elements, uncorrected: -0.907 eV/atom
- Symmetry: P1 (1)
- Crystal system: triclinic

Unit cell a=6.682 b=6.695 c=13.408 alpha=95.10 beta=94.05 gamma=95.00
Positions (direct):
S: 0.788 0.792 0.393
Mo: 0.587 0.455 0.384
Mo: 0.412 0.543 0.115
Mo: 0.548 0.229 0.707
S: 0.629 0.865 0.647
S: 0.715 0.370 0.565
S: 0.784 0.787 0.894
Li: 0.920 0.138 0.971
Li: 0.971 0.016 0.197
Mo: 0.545 0.232 0.205
S: 0.135 0.708 0.188
Mo: 0.769 0.587 0.730
S: 0.377 0.131 0.857
S: 0.220 0.208 0.608
S: 0.290 0.626 0.436
Mo: 0.415 0.541 0.618
Li: 0.561 0.015 0.494
Li: 0.978 0.613 0.518
S: 0.135 0.707 0.691
Mo: 0.233 0.413 0.274
S: 0.868 0.288 0.312
Li: 0.979 0.016 0.707
S: 0.285 0.618 0.936
S: 0.213 0.213 0.106
Mo: 0.235 0.408 0.775
Mo: 0.769 0.589 0.227
Li: 0.049 0.097 0.438
S: 0.372 0.131 0.355
Mo: 0.589 0.456 0.886
S: 0.870 0.289 0.813
Li: 0.394 0.961 0.010
Mo: 0.454 0.767 0.294
S: 0.717 0.376 0.067
S: 0.625 0.868 0.144
Mo: 0.456 0.766 0.797

A plane-wave DFT calculation with PBE-GGA was carried out for an optimized crystal structure of Na2SnSb3Pd4.

Output
- Total DFT energy (no corrections): -4.407 eV/atom
- Energy relative to the elements, uncorrected: -0.429 eV/atom
- Symmetry: P-4m2 (115)
- Crystal system: tetragonal

Unit cell a=4.602 b=4.602 c=10.918 alpha=90.00 beta=90.00 gamma=90.00
Positions (direct):
Sb: 0.000 0.500 0.125
Sb: 0.000 0.000 0.500
Pd: 0.500 0.000 0.634
Pd: 0.500 0.500 0.000
Na: 0.500 0.000 0.235
Pd: 0.000 0.000 0.000
Na: 0.000 0.500 0.765
Pd: 0.000 0.500 0.366
Sn: 0.500 0.500 0.500
Sb: 0.500 0.000 0.875

What is the total DFT energy (no corrections) in the first record? -6.923 eV/atom

Among the records above, which one has the highest total DFT energy (no corrections)? Na2SnSb3Pd4

What did the first record say?
A plane-wave DFT calculation with PBE-GGA was carried out for an optimized crystal structure of Pm3B2Rh4.

Output
- Total DFT energy (no corrections): -6.923 eV/atom
- ΔE_f: -588.0 meV per atom
- Symmetry: C2/m (12)
- Crystal system: monoclinic

Unit cell a=3.996 b=5.461 c=8.268 alpha=103.95 beta=90.00 gamma=111.46
Positions (direct):
Rh: 0.149 0.298 0.432
Pm: 0.389 0.778 0.300
B: 0.321 0.641 0.655
Rh: 0.707 0.415 0.104
Pm: 0.611 0.222 0.700
Rh: 0.851 0.702 0.568
Pm: 0.000 0.000 0.000
Rh: 0.293 0.585 0.896
B: 0.679 0.359 0.345